1.
Entry from the Alexandria database: a geometry-optimized LaAlCo2C structure (PBE).

Output
Energy of formation   -0.286 eV per atom
Space-group type   No. 63

Lattice parameters (Å, degrees): 5.794 5.794 6.853 90.00 90.00 138.69
Positions (direct):
La (0.061, 0.939, 0.750)
La (0.939, 0.061, 0.250)
Al (0.222, 0.778, 0.250)
Al (0.778, 0.222, 0.750)
Co (0.342, 0.658, 0.563)
Co (0.342, 0.658, 0.937)
Co (0.658, 0.342, 0.063)
Co (0.658, 0.342, 0.437)
C (0.500, 0.500, 0.000)
C (0.500, 0.500, 0.500)

2.
Entry from the Alexandria database: a geometry-optimized KTl2Os structure (PBE).

Output
Energy of formation   0.705 eV per atom
Space-group type   No. 99

Lattice parameters (Å, degrees): 3.842 3.842 8.433 90.00 90.00 90.00
Positions (direct):
K (0.000, 0.000, 0.000)
Tl (0.000, 0.000, 0.387)
Tl (0.500, 0.500, 0.682)
Os (0.500, 0.500, 0.366)

3.
Entry from the Alexandria database: a geometry-optimized Tb2ThAu structure (PBE).

Output
Energy of formation   -0.030 eV per atom
Space-group type   No. 166

Lattice parameters (Å, degrees): 11.469 11.469 11.469 17.46 17.46 17.46
Positions (direct):
Tb (0.100, 0.100, 0.100)
Tb (0.900, 0.900, 0.900)
Th (0.000, 0.000, 0.000)
Au (0.500, 0.500, 0.500)

4.
Entry from the Alexandria database: a geometry-optimized Sc4AlRh structure (PBE).

Output
Energy of formation   -0.276 eV per atom
Space-group type   No. 12

Lattice parameters (Å, degrees): 4.555 4.555 6.750 90.07 90.07 90.00
Positions (direct):
Sc (0.000, 0.499, 0.233)
Sc (0.000, 0.501, 0.767)
Sc (0.499, 0.000, 0.233)
Sc (0.501, 0.000, 0.767)
Al (0.000, 0.000, 0.500)
Rh (0.500, 0.500, 0.000)

5.
Entry from the Alexandria database: a geometry-optimized Pr3Dy5 structure (PBE).

Output
Energy of formation   0.022 eV per atom
Space-group type   No. 123

Lattice parameters (Å, degrees): 3.613 3.613 20.369 90.00 90.00 90.00
Positions (direct):
Pr (0.000, 0.000, 0.000)
Pr (0.500, 0.500, 0.374)
Pr (0.500, 0.500, 0.626)
Dy (0.000, 0.000, 0.247)
Dy (0.000, 0.000, 0.500)
Dy (0.000, 0.000, 0.753)
Dy (0.500, 0.500, 0.126)
Dy (0.500, 0.500, 0.874)

6.
Entry from the Alexandria database: a geometry-optimized TePt2Se structure (PBE).

Output
Formation energy from raw total energies   184 meV/atom
Space-group type   No. 123

Lattice parameters (Å, degrees): 3.552 3.552 5.976 90.00 90.00 90.00
Positions (direct):
Te (0.000, 0.000, 0.000)
Pt (0.500, 0.500, 0.251)
Pt (0.500, 0.500, 0.749)
Se (0.000, 0.000, 0.500)

7.
Entry from the Alexandria database: a geometry-optimized Ru2NF structure (PBE).

Output
Formation energy from raw total energies   68 meV/atom
Space-group type   No. 122

Lattice parameters (Å, degrees): 5.935 5.935 5.935 133.33 133.33 68.13
Positions (direct):
Ru (0.054, 0.625, 0.929)
Ru (0.375, 0.304, 0.429)
Ru (0.696, 0.125, 0.071)
Ru (0.875, 0.946, 0.571)
N (0.000, 0.000, 0.000)
N (0.750, 0.250, 0.500)
F (0.250, 0.750, 0.500)
F (0.500, 0.500, 0.000)

8.
Entry from the Alexandria database: a geometry-optimized AlCu4Se structure (PBE).

Output
Formation energy from raw total energies   101 meV/atom
Space-group type   No. 216

Lattice parameters (Å, degrees): 4.945 4.945 4.945 60.00 60.00 60.00
Positions (direct):
Al (0.000, 0.000, 0.000)
Cu (0.123, 0.626, 0.626)
Cu (0.626, 0.123, 0.626)
Cu (0.626, 0.626, 0.123)
Cu (0.626, 0.626, 0.626)
Se (0.250, 0.250, 0.250)

9.
Entry from the Alexandria database: a geometry-optimized La3Tb2PrEr6 structure (PBE).

Output
Energy of formation   0.019 eV per atom
Space-group type   No. 12

Lattice parameters (Å, degrees): 6.237 6.237 11.800 95.05 95.05 119.99
Positions (direct):
La (0.000, 0.000, 0.000)
La (0.333, 0.667, 0.000)
La (0.667, 0.333, 0.000)
Tb (0.167, 0.833, 0.500)
Tb (0.833, 0.167, 0.500)
Pr (0.500, 0.500, 0.500)
Er (0.084, 0.418, 0.254)
Er (0.248, 0.248, 0.746)
Er (0.418, 0.084, 0.254)
Er (0.582, 0.916, 0.746)
Er (0.752, 0.752, 0.254)
Er (0.916, 0.582, 0.746)

Number 1: density 6.47 g/cm³. Number 2: density 8.51 g/cm³. Number 3: density 10.47 g/cm³. Number 4: density 3.67 g/cm³. Number 5: density 7.72 g/cm³. Number 6: density 13.14 g/cm³. Number 7: density 7.19 g/cm³. Number 8: density 6.99 g/cm³. Number 9: density 7.97 g/cm³.